Compound: HoTmGaNi
Source: the Alexandria database
Functional: PBE-GGA
Structure: relaxed

a = 4.8853 Å, b = 4.8853 Å, c = 4.8853 Å
α = 60.00°, β = 60.00°, γ = 60.00°
Closest atoms and distances in Å follow each position.
Fractional positions:
Ho 0.0000 0.0000 0.0000  4 Ga 2.99, 4 Ni 2.99
Tm 0.5000 0.5000 0.5000  4 Ni 2.99, 4 Ga 2.99
Ga 0.7500 0.7500 0.7500  4 Tm 2.99, 4 Ho 2.99
Ni 0.2500 0.2500 0.2500  4 Ho 2.99, 4 Tm 2.99

Size of the total moment ... 0.0 μB per formula unit
DOS(E_F) ... 3.686 states/eV/cell
Energy of formation from the pure elements ... -474.0 meV per atom
Space group ... F-43m (216)
Energy above the most stable polymorph in this dataset ... 43 meV per atom

Compound: TmThS2
Source: the Alexandria database
Functional: PBE-GGA
Structure: relaxed

a = 3.8198 Å, b = 3.8198 Å, c = 7.3757 Å
α = 74.99°, β = 74.99°, γ = 60.00°
Closest atoms and distances in Å follow each position.
Fractional positions:
S 0.0758 0.0758 0.7726  3 Tm 2.68, 3 Th 2.87
S 0.2576 0.2576 0.2272  3 Tm 2.77, 3 Th 2.98
Th 0.4964 0.4964 0.5109  6 S 2.87-2.98
Tm 0.6703 0.6703 0.9892  6 S 2.68-2.77

Size of the total moment ... 0.0 μB per formula unit
DOS(E_F) ... 2.714 states/eV/cell
Space group ... R3m (160)
Energy above the most stable polymorph in this dataset ... 94 meV per atom
E_form (uncorrected) ... -7.16 eV per formula unit

Q: Which of these has the lowest DOS(E_F)?
A: TmThS2

Q: What is the formula in the second record?
A: TmThS2

Q: The highest energy above the most stable polymorph in this dataset belongs to which entry?
A: TmThS2

Q: The highest energy above the most stable polymorph in this dataset belongs to which entry?
A: TmThS2